<1>
Material: NaHf3Br
Method: DFT, GGA-PBE
State: relaxed

Unit cell a=5.026 b=5.026 c=5.026 alpha=90.00 beta=90.00 gamma=90.00
Fractional positions:
Na  0.000  0.000  0.000
Hf  0.000  0.500  0.500
Hf  0.500  0.000  0.500
Hf  0.500  0.500  0.000
Br  0.500  0.500  0.500

Calculated values
SG   Pm-3m

<2>
Material: NaHf3Br
Method: DFT, GGA-PBE
State: relaxed

Unit cell a=5.080 b=5.080 c=5.080 alpha=90.00 beta=90.00 gamma=90.00
Fractional positions:
Na  0.000  0.000  0.000
Hf  0.000  0.000  0.500
Hf  0.000  0.500  0.000
Hf  0.500  0.000  0.000
Br  0.500  0.500  0.500

Calculated values
SG   Pm-3m

Need the numbers? Relative energies in meV per atom: <1> 0; <2> 923.

<1>
Material: Na3HfBr
Method: DFT, GGA-PBE
State: relaxed

Unit cell a=5.567 b=5.567 c=5.567 alpha=90.00 beta=90.00 gamma=90.00
Fractional positions:
Na  0.000  0.000  0.500
Na  0.000  0.500  0.000
Na  0.500  0.000  0.000
Hf  0.500  0.500  0.500
Br  0.000  0.000  0.000

Calculated values
SG   Pm-3m

<2>
Material: Na3HfBr
Method: DFT, GGA-PBE
State: relaxed

Unit cell a=6.352 b=6.352 c=6.352 alpha=90.00 beta=90.00 gamma=90.00
Fractional positions:
Na  0.000  0.000  0.500
Na  0.000  0.500  0.000
Na  0.500  0.000  0.000
Hf  0.000  0.000  0.000
Br  0.500  0.500  0.500

Calculated values
SG   Pm-3m

Need the numbers? Relative energies in meV per atom: <1> 0; <2> 508.

<1>
Material: NaHfSeBr2
Method: DFT, GGA-PBE
State: relaxed

Unit cell a=5.338 b=5.338 c=5.190 alpha=90.00 beta=90.00 gamma=90.00
Fractional positions:
Na  0.000  0.000  0.000
Hf  0.500  0.500  0.500
Se  0.500  0.500  0.000
Br  0.000  0.500  0.500
Br  0.500  0.000  0.500

Calculated values
SG   P4/mmm

<2>
Material: NaHfSeBr2
Method: DFT, GGA-PBE
State: relaxed

Unit cell a=4.938 b=4.938 c=5.420 alpha=90.00 beta=90.00 gamma=90.00
Fractional positions:
Na  0.000  0.000  0.000
Hf  0.500  0.500  0.500
Se  0.000  0.000  0.500
Br  0.000  0.500  0.000
Br  0.500  0.000  0.000

Calculated values
SG   P4/mmm

Need the numbers? Relative energies in meV per atom: <1> 0; <2> 1139.

<1>
Material: NaHfSe2Br
Method: DFT, GGA-PBE
State: relaxed

Unit cell a=5.093 b=5.093 c=4.830 alpha=90.00 beta=90.00 gamma=90.00
Fractional positions:
Na  0.000  0.000  0.000
Hf  0.500  0.500  0.500
Se  0.000  0.500  0.000
Se  0.500  0.000  0.000
Br  0.000  0.000  0.500

Calculated values
SG   P4/mmm

<2>
Material: NaHfSe2Br
Method: DFT, GGA-PBE
State: relaxed

Unit cell a=5.199 b=5.199 c=5.389 alpha=90.00 beta=90.00 gamma=90.00
Fractional positions:
Na  0.000  0.000  0.000
Hf  0.500  0.500  0.500
Se  0.000  0.500  0.500
Se  0.500  0.000  0.500
Br  0.500  0.500  0.000

Calculated values
SG   P4/mmm

Need the numbers? Relative energies in meV per atom: <1> 1419; <2> 0.

<1>
Material: HfNb3Br
Method: DFT, GGA-PBE
State: relaxed

Unit cell a=4.752 b=4.752 c=4.752 alpha=90.00 beta=90.00 gamma=90.00
Fractional positions:
Hf  0.000  0.000  0.000
Nb  0.000  0.500  0.500
Nb  0.500  0.000  0.500
Nb  0.500  0.500  0.000
Br  0.500  0.500  0.500

Calculated values
SG   Pm-3m

<2>
Material: HfNb3Br
Method: DFT, GGA-PBE
State: relaxed

Unit cell a=5.022 b=5.022 c=5.022 alpha=90.00 beta=90.00 gamma=90.00
Fractional positions:
Hf  0.000  0.000  0.000
Nb  0.000  0.000  0.500
Nb  0.000  0.500  0.000
Nb  0.500  0.000  0.000
Br  0.500  0.500  0.500

Calculated values
SG   Pm-3m

Need the numbers? Relative energies in meV per atom: <1> 0; <2> 851.

<1>
Material: HfNbSe2Br
Method: DFT, GGA-PBE
State: relaxed

Unit cell a=5.185 b=5.185 c=5.107 alpha=90.00 beta=90.00 gamma=90.00
Fractional positions:
Hf  0.000  0.000  0.000
Nb  0.500  0.500  0.500
Se  0.000  0.500  0.000
Se  0.500  0.000  0.000
Br  0.000  0.000  0.500

Calculated values
SG   P4/mmm

<2>
Material: HfNbSe2Br
Method: DFT, GGA-PBE
State: relaxed

Unit cell a=5.051 b=5.051 c=5.024 alpha=90.00 beta=90.00 gamma=90.00
Fractional positions:
Hf  0.000  0.000  0.000
Nb  0.500  0.500  0.500
Se  0.000  0.500  0.500
Se  0.500  0.000  0.500
Br  0.500  0.500  0.000

Calculated values
SG   P4/mmm

Need the numbers? Relative energies in meV per atom: <1> 0; <2> 181.